Record 1
Below is a relaxed structure of Ce3Y2PuAs6, with properties calculated at the PBE-GGA level.

## Properties
electronic total energy	-7.48	eV/atom
energy of formation	-1403	meV per atom

a b c (Å): 7.2382 7.2382 7.2172
angles (deg): 99.62 99.62 120.00
Positions (direct):
1 Ce 0.0000 0.0000 0.0000
2 Ce 0.3333 0.6667 0.0000
3 Ce 0.6667 0.3333 0.0000
4 Y 0.1667 0.8333 0.5000
5 Y 0.8333 0.1667 0.5000
6 Pu 0.5000 0.5000 0.5000
7 As 0.0845 0.4178 0.2530
8 As 0.2490 0.2490 0.7462
9 As 0.4178 0.0845 0.2530
10 As 0.5822 0.9155 0.7470
11 As 0.7510 0.7510 0.2538
12 As 0.9155 0.5822 0.7470

=====

Record 2
Below is a relaxed structure of Ce3YPu2As6, with properties calculated at the PBE-GGA level.

## Properties
electronic total energy	-8.05	eV/atom
energy of formation	-1318	meV per atom

a b c (Å): 7.2473 7.2473 7.2161
angles (deg): 99.64 99.64 120.00
Positions (direct):
1 Ce 0.0000 0.0000 0.0000
2 Ce 0.3335 0.6665 0.0000
3 Ce 0.6665 0.3335 0.0000
4 Y 0.5000 0.5000 0.5000
5 Pu 0.1666 0.8334 0.5000
6 Pu 0.8334 0.1666 0.5000
7 As 0.0840 0.4180 0.2541
8 As 0.2481 0.2481 0.7464
9 As 0.4180 0.0840 0.2541
10 As 0.5820 0.9160 0.7459
11 As 0.7519 0.7519 0.2536
12 As 0.9160 0.5820 0.7459

=====

Record 3
Below is a relaxed structure of CeYPu2As4, with properties calculated at the PBE-GGA level.

## Properties
electronic total energy	-8.72	eV/atom
energy of formation	-1261	meV per atom

a b c (Å): 7.1778 4.1676 7.2098
angles (deg): 90.00 109.57 90.00
Positions (direct):
1 Ce 0.0000 0.0000 0.0000
2 Y 0.0000 0.5000 0.5000
3 Pu 0.5000 0.0000 0.5000
4 Pu 0.5000 0.5000 0.0000
5 As 0.2531 0.0000 0.7497
6 As 0.2534 0.5000 0.2530
7 As 0.7469 0.0000 0.2503
8 As 0.7466 0.5000 0.7470

=====

Record 4
Below is a relaxed structure of Ce2YPuAs4, with properties calculated at the PBE-GGA level.

## Properties
electronic total energy	-7.77	eV/atom
energy of formation	-1361	meV per atom

a b c (Å): 7.2145 4.1826 7.2402
angles (deg): 90.00 109.57 90.00
Positions (direct):
1 Ce 0.0000 0.0000 0.0000
2 Ce 0.0000 0.5000 0.5000
3 Y 0.5000 0.0000 0.5000
4 Pu 0.5000 0.5000 0.0000
5 As 0.2529 0.5000 0.2513
6 As 0.2541 0.0000 0.7515
7 As 0.7459 0.0000 0.2485
8 As 0.7471 0.5000 0.7487

=====

Record 5
Below is a relaxed structure of CePu2ZrAs4, with properties calculated at the PBE-GGA level.

## Properties
electronic total energy	-8.89	eV/atom
energy of formation	-1168	meV per atom

a b c (Å): 7.0597 4.0855 7.1002
angles (deg): 90.00 109.31 90.00
Positions (direct):
1 Ce 0.0000 0.0000 0.0000
2 Pu 0.5000 0.0000 0.5000
3 Pu 0.5000 0.5000 0.0000
4 Zr 0.0000 0.5000 0.5000
5 As 0.2407 0.0000 0.7368
6 As 0.2466 0.5000 0.2604
7 As 0.7534 0.5000 0.7396
8 As 0.7593 0.0000 0.2632

=====

Record 6
Below is a relaxed structure of RbCeAs, with properties calculated at the PBE-GGA level.

## Properties
electronic total energy	-4.61	eV/atom
energy of formation	-755	meV per atom

a b c (Å): 4.2199 4.2199 14.9095
angles (deg): 97.49 97.49 90.00
Positions (direct):
1 Rb 0.0821 0.0821 0.1543
2 Rb 0.9179 0.9179 0.8457
3 Ce 0.2928 0.2928 0.5924
4 Ce 0.7072 0.7072 0.4076
5 As 0.1987 0.1987 0.3890
6 As 0.8013 0.8013 0.6110

=====

Record 7
Below is a relaxed structure of Rb2CeAsS4, with properties calculated at the PBE-GGA level.

## Properties
electronic total energy	-4.69	eV/atom

a b c (Å): 8.5125 8.5125 8.5125
angles (deg): 119.68 119.60 90.63
Positions (direct):
1 Rb 0.0000 0.0000 0.0000
2 Rb 0.5000 0.0000 0.0000
3 Rb 0.5000 0.0000 0.5000
4 Rb 0.5000 0.5000 0.5000
5 Ce 0.0000 0.0000 0.5000
6 Ce 0.0000 0.5000 0.0000
7 As 0.0000 0.5000 0.5000
8 As 0.5000 0.5000 0.0000
9 S 0.1914 0.7243 0.4672
10 S 0.2352 0.2835 0.5482
11 S 0.2352 0.6870 0.9518
12 S 0.2429 0.2757 0.9672
13 S 0.7571 0.7243 0.0328
14 S 0.7648 0.3130 0.0482
15 S 0.7648 0.7165 0.4518
16 S 0.8086 0.2757 0.5328

=====

Record 8
Below is a relaxed structure of Rb2CeAs2S6, with properties calculated at the PBE-GGA level.

## Properties
electronic total energy	-4.70	eV/atom

a b c (Å): 6.8528 6.8528 8.5877
angles (deg): 109.89 109.89 63.41
Positions (direct):
1 Rb 0.1978 0.1978 0.1541
2 Rb 0.8022 0.8022 0.8459
3 Ce 0.0000 0.0000 0.5000
4 As 0.4284 0.4284 0.7954
5 As 0.5716 0.5716 0.2046
6 S 0.2135 0.7104 0.2362
7 S 0.2448 0.2448 0.5662
8 S 0.2896 0.7865 0.7638
9 S 0.7104 0.2135 0.2362
10 S 0.7552 0.7552 0.4338
11 S 0.7865 0.2896 0.7638

=====

Record 9
Below is a relaxed structure of Rb3CeAs2S8, with properties calculated at the PBE-GGA level.

## Properties
electronic total energy	-4.43	eV/atom

a b c (Å): 7.2937 7.2937 9.5121
angles (deg): 90.00 90.00 120.00
Positions (direct):
1 Rb 0.0000 0.0000 0.0000
2 Rb 0.3333 0.6667 0.6593
3 Rb 0.6667 0.3333 0.3407
4 Ce 0.0000 0.0000 0.5000
5 As 0.3333 0.6667 0.2335
6 As 0.6667 0.3333 0.7665
7 S 0.1666 0.3331 0.3155
8 S 0.1666 0.8334 0.3155
9 S 0.3331 0.1666 0.6845
10 S 0.3333 0.6667 0.0129
11 S 0.6667 0.3333 0.9871
12 S 0.6669 0.8334 0.3155
13 S 0.8334 0.1666 0.6845
14 S 0.8334 0.6669 0.6845

=====

Record 10
Below is a relaxed structure of Ce4AsRh2, with properties calculated at the PBE-GGA level.

## Properties
electronic total energy	-6.93	eV/atom
energy of formation	-773	meV per atom

a b c (Å): 7.6028 7.6028 7.6028
angles (deg): 106.96 106.96 114.63
Positions (direct):
1 Ce 0.0030 0.7493 0.1170
2 Ce 0.1141 0.9970 0.7464
3 Ce 0.1177 0.5007 0.7536
4 Ce 0.2507 0.3677 0.2536
5 Ce 0.4993 0.2530 0.6170
6 Ce 0.6323 0.8859 0.8830
7 Ce 0.6359 0.8823 0.3830
8 Ce 0.7470 0.3641 0.2464
9 As 0.2500 0.7500 0.5000
10 As 0.5000 0.5000 0.0000
11 Rh 0.0046 0.1250 0.3796
12 Rh 0.3750 0.9954 0.1204
13 Rh 0.7454 0.6250 0.6204
14 Rh 0.8750 0.2546 0.8796

=====

Record 11
Below is a relaxed structure of Ce2As4Rh3, with properties calculated at the PBE-GGA level.

## Properties
electronic total energy	-6.63	eV/atom
energy of formation	-798	meV per atom

a b c (Å): 7.9190 6.7525 5.7101
angles (deg): 78.41 56.65 44.94
Positions (direct):
1 Ce 0.1408 0.1408 0.8592
2 Ce 0.8592 0.8592 0.1408
3 As 0.1827 0.5030 0.4970
4 As 0.4970 0.8173 0.1827
5 As 0.5030 0.1827 0.8173
6 As 0.8173 0.4970 0.5030
7 Rh 0.0000 0.0000 0.5000
8 Rh 0.5000 0.5000 0.0000
9 Rh 0.5000 0.5000 0.5000

=====

Q: What is the formula in the ninth record?
A: Rb3CeAs2S8